Entry 1:
Below is an optimized crystal structure of SmYPu, with properties calculated at the GGA-PBE level.

```
SmYPu
1.0
3.5601 0.0000 0.0000
-1.7800 3.0831 0.0000
0.0000 0.0000 8.6035
Y Sm Pu
1 1 1
direct
0.6667 0.3333 0.3376
0.0000 0.0000 0.9967
0.3333 0.6667 0.6658
```

Properties
polymorph energy (0 for the lowest one)	0.013	eV per atom
space group	P3m1

Entry 2:
Below is an optimized crystal structure of Sm8Y2Pu, with properties calculated at the GGA-PBE level.

```
Sm8Y2Pu
1.0
6.2480 0.0000 3.1635
-1.6494 10.3889 3.2576
0.6510 1.0535 6.4661
Sm Y Pu
8 2 1
direct
0.7422 0.7374 0.0182
0.7604 0.2626 0.9818
0.6825 0.6292 0.6351
0.3175 0.3708 0.3649
0.2396 0.7374 0.0182
0.2578 0.2626 0.9818
0.6807 0.0626 0.6387
0.3193 0.9374 0.3613
0.8275 0.4204 0.3449
0.1725 0.5796 0.6551
0.0000 0.0000 0.0000
```

Properties
total DFT energy (no corrections)	-5.744	eV per atom
space group	C2/m

Entry 3:
Below is an optimized crystal structure of Sm6Y4Pu, with properties calculated at the GGA-PBE level.

```
Sm6Y4Pu
1.0
5.8171 0.0000 0.0000
-2.9086 4.8472 0.0000
0.0000 0.0000 25.7873
Sm Y Pu
12 8 2
direct
0.5000 0.0000 0.0000
0.5000 0.0000 0.5000
0.1313 0.2626 0.3177
0.8687 0.7374 0.6823
0.8687 0.7374 0.8177
0.1313 0.2626 0.1823
0.8033 0.6067 0.3957
0.1967 0.3933 0.6043
0.1967 0.3933 0.8957
0.8033 0.6067 0.1043
0.4683 0.9366 0.2500
0.5317 0.0634 0.7500
0.8473 0.6945 0.5435
0.4621 0.9241 0.1227
0.1527 0.3055 0.4565
0.5379 0.0759 0.8773
0.8473 0.6945 0.9565
0.1527 0.3055 0.0435
0.5379 0.0759 0.6227
0.4621 0.9241 0.3773
0.8032 0.6064 0.2500
0.1968 0.3936 0.7500
```

Properties
total DFT energy (no corrections)	-6.052	eV per atom
space group	Cmcm

Entry 4:
Below is an optimized crystal structure of Sm3Y6Pu, with properties calculated at the GGA-PBE level.

```
Sm3Y6Pu
1.0
-5.3783 -2.5572 7.8863
-8.7818 -4.3666 -1.2132
-2.9988 -5.7827 2.2715
Sm Y Pu
3 6 1
direct
0.3881 0.3881 0.8356
0.6408 0.6408 0.0775
0.1271 0.1271 0.6187
0.9107 0.5838 0.2770
0.2284 0.9107 0.2770
0.5838 0.2284 0.2770
0.0767 0.4168 0.7660
0.7405 0.0767 0.7660
0.4168 0.7405 0.7660
0.8869 0.8869 0.3393
```

Properties
total DFT energy (no corrections)	-6.487	eV per atom
space group	R3

Entry 5:
Below is an optimized crystal structure of Sm6Y2Pu, with properties calculated at the GGA-PBE level.

```
Sm6Y2Pu
1.0
7.0512 0.0000 0.0000
0.0000 7.2787 -4.5406
0.0000 -4.3317 14.3896
Sm Y Pu
12 4 2
direct
0.0001 0.2519 0.8279
0.2561 0.2453 0.4499
0.2437 0.2545 0.0500
0.7437 0.2455 0.4500
0.7561 0.2547 0.0501
0.5001 0.2481 0.6721
0.9999 0.7481 0.1721
0.7439 0.7547 0.5501
0.7563 0.7455 0.9500
0.2563 0.7545 0.5500
0.2439 0.7453 0.9499
0.4999 0.7519 0.3279
0.5000 0.1914 0.2306
0.0000 0.3086 0.2694
0.0000 0.6914 0.7306
0.5000 0.8086 0.7694
0.5000 0.5000 0.0000
0.0000 0.0000 0.5000
```

Properties
total DFT energy (no corrections)	-5.990	eV per atom
space group	C2/m

Entry 6:
Below is an optimized crystal structure of Sm5Y8Pu, with properties calculated at the GGA-PBE level.

```
Sm5Y8Pu
1.0
7.8772 0.0000 -3.1488
-3.7220 7.1433 -2.6617
-0.4331 0.0000 8.4722
Sm Y Pu
5 8 1
direct
0.9441 0.2346 0.0390
0.9610 0.9050 0.1956
0.8044 0.7654 0.7095
0.5000 0.0000 0.5000
0.2905 0.0950 0.0559
0.0606 0.5987 0.9670
0.0330 0.0936 0.6316
0.7757 0.3096 0.4103
0.5897 0.3653 0.8993
0.5340 0.6347 0.2243
0.5381 0.9064 0.9394
0.3684 0.4013 0.4619
0.1007 0.6904 0.4660
0.2500 0.5000 0.7500
```

Properties
total DFT energy (no corrections)	-6.117	eV per atom
space group	I-4

Entry 7:
Below is an optimized crystal structure of Sm8Y6Pu, with properties calculated at the GGA-PBE level.

```
Sm8Y6Pu
1.0
-2.9219 -2.9859 4.1481
6.8797 -7.0903 -0.2578
0.9998 7.6323 6.1982
Sm Y Pu
8 6 1
direct
0.7599 0.0518 0.2648
0.7599 0.7352 0.7870
0.7599 0.2130 0.9482
0.2401 0.9482 0.7352
0.2401 0.2648 0.2130
0.2401 0.7870 0.0518
0.7648 0.3333 0.6667
0.2352 0.6667 0.3333
0.7483 0.6196 0.0937
0.7483 0.9063 0.5259
0.7483 0.4741 0.3804
0.2517 0.3804 0.9063
0.2517 0.0937 0.4741
0.2517 0.5259 0.6196
0.5000 0.0000 0.0000
```

Properties
total DFT energy (no corrections)	-5.937	eV per atom
space group	P-3

Entry 8:
Below is an optimized crystal structure of Sm14YPu, with properties calculated at the GGA-PBE level.

```
Sm14YPu
1.0
7.1719 0.9623 0.0000
-0.9622 7.1719 0.0000
0.0000 0.0000 10.1782
Sm Y Pu
14 1 1
direct
0.3751 0.6249 0.5000
0.8749 0.1251 0.5000
0.8752 0.6253 0.0000
0.8748 0.6248 0.5000
0.3747 0.1248 0.0000
0.3752 0.1252 0.5000
0.6268 0.8768 0.7531
0.6268 0.8768 0.2469
0.1232 0.3732 0.7531
0.1232 0.3732 0.2469
0.1234 0.8766 0.7529
0.1234 0.8766 0.2471
0.6266 0.3734 0.7533
0.6266 0.3734 0.2467
0.3750 0.6250 0.0000
0.8750 0.1250 0.0000
```

Properties
total DFT energy (no corrections)	-5.388	eV per atom
space group	P4/mmm

Entry 9:
Below is an optimized crystal structure of Sm4Y3Pu, with properties calculated at the GGA-PBE level.

```
Sm4Y3Pu
1.0
-0.9226 3.0203 -1.4406
-10.2035 -4.6531 -3.2206
2.9441 2.6848 7.9252
Y Sm Pu
3 4 1
direct
0.0000 0.5000 0.0000
0.7646 0.7647 0.5293
0.2354 0.2353 0.4707
0.6309 0.3785 0.2619
0.3691 0.6215 0.7381
0.3691 0.1168 0.7382
0.6309 0.8832 0.2618
0.5000 0.0000 0.0000
```

Properties
total DFT energy (no corrections)	-6.425	eV per atom
space group	Immm

Entry 10:
Below is an optimized crystal structure of Sm5Y6Pu, with properties calculated at the GGA-PBE level.

```
Sm5Y6Pu
1.0
-0.9290 -1.0383 6.0531
4.8509 -0.3734 3.8673
-0.9206 11.0991 3.8952
Y Sm Pu
6 5 1
direct
0.5887 0.3291 0.2475
0.0822 0.3291 0.7525
0.7530 0.0000 0.7523
0.2470 0.0000 0.2477
0.9178 0.6709 0.2475
0.4113 0.6709 0.7525
0.1671 0.6658 0.5000
0.3335 0.3329 0.0000
0.5000 0.0000 0.5000
0.6665 0.6671 0.0000
0.8329 0.3342 0.5000
0.0000 0.0000 0.0000
```

Properties
total DFT energy (no corrections)	-6.348	eV per atom
space group	C2/m

Entry 11:
Below is an optimized crystal structure of SmYPu, with properties calculated at the GGA-PBE level.

```
SmYPu
1.0
3.5399 0.0000 0.0000
0.0000 3.5399 0.0000
-1.7700 -1.7700 7.4742
Y Sm Pu
1 1 1
direct
0.6698 0.6698 0.3396
0.9969 0.9969 0.9938
0.3333 0.3333 0.6666
```

Properties
polymorph energy (0 for the lowest one)	0.000	eV per atom
space group	I4mm

Entry 12:
Below is an optimized crystal structure of Sm5Y4Pu, with properties calculated at the GGA-PBE level.

```
Sm5Y4Pu
1.0
3.4355 0.0000 -0.8460
-0.5147 11.2860 -2.0900
0.2957 -1.2021 8.5989
Sm Y Pu
5 4 1
direct
0.2103 0.6142 0.4205
0.1873 0.0777 0.3745
0.8127 0.9223 0.6255
0.5000 0.5000 0.0000
0.7897 0.3858 0.5795
0.6049 0.7989 0.2099
0.9163 0.7105 0.8326
0.3951 0.2011 0.7901
0.0837 0.2895 0.1674
0.5000 0.0000 0.0000
```

Properties
total DFT energy (no corrections)	-6.311	eV per atom
space group	C2/m